[1]
Pm4Ge5Rh2 | PBE-GGA | relaxed

Geometry as POSCAR:
```
Pm4Ge5Rh2
1.0
7.1767 0.0000 0.0000
0.0000 4.1937 0.0000
-0.0945 0.0000 8.2734
Pm Ge Rh
4 5 2
direct
0.2275 0.0000 0.1369
0.2480 0.0000 0.6127
0.7520 0.0000 0.3873
0.7725 0.0000 0.8631
0.1167 0.5000 0.8765
0.4331 0.5000 0.3505
0.5000 0.5000 0.0000
0.5669 0.5000 0.6495
0.8833 0.5000 0.1235
0.0865 0.5000 0.3661
0.9135 0.5000 0.6339
```

Formation energy in eV/atom: -0.725

***

[2]
KYSn2Br8 | PBE-GGA | relaxed

Geometry as POSCAR:
```
KYSn2Br8
1.0
6.8253 0.0000 0.0000
0.1582 7.2130 0.0000
0.0071 0.0004 9.0778
K Y Sn Br
1 1 2 8
direct
0.0000 0.0000 0.0000
0.0000 0.0000 0.5000
0.4999 0.5001 0.2487
0.5001 0.4999 0.7513
0.2370 0.3202 0.5003
0.2422 0.8435 0.7206
0.2429 0.8442 0.2791
0.2736 0.3669 0.0001
0.7264 0.6331 0.9999
0.7571 0.1558 0.7209
0.7578 0.1565 0.2794
0.7630 0.6798 0.4997
```

Energy relative to the elements, uncorrected in kJ per mole of atoms: -123.5

***

[3]
NiAs2Ru | PBE-GGA | relaxed

Geometry as POSCAR:
```
NiAs2Ru
1.0
4.6473 0.0000 0.0000
0.0000 1.6185 4.2940
0.0000 -1.6185 4.2940
Ni As Ru
1 2 1
direct
0.0000 0.0000 0.0000
0.0000 0.2983 0.2983
0.5000 0.1123 0.1123
0.5000 0.4082 0.4082
```

Formation energy in eV/atom: -0.120
Energy above the lowest structure with this stoichiometry in meV per atom: 0

***

[4]
YAs2Pt | PBE-GGA | relaxed

Geometry as POSCAR:
```
YAs2Pt
1.0
2.0452 -3.0000 0.0000
2.0452 3.0000 0.0000
0.0000 0.0000 6.7742
Y As Pt
1 2 1
direct
0.0000 0.0000 0.0000
0.5000 0.5000 0.2825
0.5000 0.5000 0.7175
0.0000 0.0000 0.5000
```

Formation energy in eV/atom: -0.560

***

Sequential total magnetization output: 0.00; 0.00; 0.00; 0.00 Bohr magnetons per cell
Sequential theoretical density output: 7662; 3733; 7959; 8666 kg/m³